Run w
## LaZrBe (PBE)

Data for a relaxed LaZrBe crystal.

abc: 4.676 4.676 4.676
angles: 60.00 60.00 60.00
Sites, in units of the cell vectors:
Be1 0.000 0.000 0.000
La1 0.250 0.250 0.250
Zr1 0.750 0.750 0.750

## Properties
magnetization	0.00	μB per cell

***

Run x
## LaZrBe (PBE)

Data for a relaxed LaZrBe crystal.

abc: 4.700 4.700 4.700
angles: 60.00 60.00 60.00
Sites, in units of the cell vectors:
Be1 0.250 0.250 0.250
La1 0.000 0.000 0.000
Zr1 0.750 0.750 0.750

## Properties
magnetization	0.81	μB per cell

***

Of them, run x has the lowest stability.

***

Run w
## LiBeNbNi (PBE)

Data for a relaxed LiBeNbNi crystal.

abc: 4.122 4.122 4.122
angles: 60.00 60.00 60.00
Sites, in units of the cell vectors:
Be1 0.000 0.000 0.000
Li1 0.750 0.750 0.750
Nb1 0.250 0.250 0.250
Ni1 0.500 0.500 0.500

## Properties
magnetization	0.00	μB per cell

***

Run x
## LiBeNbNi (PBE)

Data for a relaxed LiBeNbNi crystal.

abc: 4.069 4.069 4.069
angles: 60.00 60.00 60.00
Sites, in units of the cell vectors:
Be1 0.750 0.750 0.750
Li1 0.000 0.000 0.000
Nb1 0.250 0.250 0.250
Ni1 0.500 0.500 0.500

## Properties
magnetization	0.00	μB per cell

***

Run y
## LiBeNbNi (PBE)

Data for a relaxed LiBeNbNi crystal.

abc: 4.048 4.048 4.048
angles: 60.00 60.00 60.00
Sites, in units of the cell vectors:
Be1 0.250 0.250 0.250
Li1 0.750 0.750 0.750
Nb1 0.000 0.000 0.000
Ni1 0.500 0.500 0.500

## Properties
magnetization	0.01	μB per cell

***

Of them, run y has the lowest stability.

***

Run w
## LiBeNbPd (PBE)

Data for a relaxed LiBeNbPd crystal.

abc: 4.251 4.251 4.251
angles: 60.00 60.00 60.00
Sites, in units of the cell vectors:
Be1 0.750 0.750 0.750
Li1 0.500 0.500 0.500
Nb1 0.250 0.250 0.250
Pd1 0.000 0.000 0.000

## Properties
magnetization	0.00	μB per cell

***

Run x
## LiBeNbPd (PBE)

Data for a relaxed LiBeNbPd crystal.

abc: 4.287 4.287 4.287
angles: 60.00 60.00 60.00
Sites, in units of the cell vectors:
Be1 0.500 0.500 0.500
Li1 0.750 0.750 0.750
Nb1 0.250 0.250 0.250
Pd1 0.000 0.000 0.000

## Properties
magnetization	0.00	μB per cell

***

Of them, run x has the lowest stability.

***

Run w
## LiBeNiSn (PBE)

Data for a relaxed LiBeNiSn crystal.

abc: 4.187 4.187 4.187
angles: 60.00 60.00 60.00
Sites, in units of the cell vectors:
Be1 0.500 0.500 0.500
Li1 0.250 0.250 0.250
Ni1 0.750 0.750 0.750
Sn1 0.000 0.000 0.000

## Properties
magnetization	0.00	μB per cell

***

Run x
## LiBeNiSn (PBE)

Data for a relaxed LiBeNiSn crystal.

abc: 4.218 4.218 4.218
angles: 60.00 60.00 60.00
Sites, in units of the cell vectors:
Be1 0.250 0.250 0.250
Li1 0.500 0.500 0.500
Ni1 0.750 0.750 0.750
Sn1 0.000 0.000 0.000

## Properties
magnetization	0.02	μB per cell

***

Of them, run x has the lowest stability.

***

Run w
## LiTaBeNi (PBE)

Data for a relaxed LiTaBeNi crystal.

abc: 4.107 4.107 4.107
angles: 60.00 60.00 60.00
Sites, in units of the cell vectors:
Be1 0.750 0.750 0.750
Li1 0.500 0.500 0.500
Ni1 0.250 0.250 0.250
Ta1 0.000 0.000 0.000

## Properties
magnetization	0.00	μB per cell

***

Run x
## LiTaBeNi (PBE)

Data for a relaxed LiTaBeNi crystal.

abc: 4.030 4.030 4.030
angles: 60.00 60.00 60.00
Sites, in units of the cell vectors:
Be1 0.250 0.250 0.250
Li1 0.750 0.750 0.750
Ni1 0.500 0.500 0.500
Ta1 0.000 0.000 0.000

## Properties
magnetization	0.00	μB per cell

***

Run y
## LiTaBeNi (PBE)

Data for a relaxed LiTaBeNi crystal.

abc: 4.063 4.063 4.063
angles: 60.00 60.00 60.00
Sites, in units of the cell vectors:
Be1 0.500 0.500 0.500
Li1 0.750 0.750 0.750
Ni1 0.250 0.250 0.250
Ta1 0.000 0.000 0.000

## Properties
magnetization	0.00	μB per cell

***

Of them, run x has the lowest stability.

***

Run w
## LiBeReOs (PBE)

Data for a relaxed LiBeReOs crystal.

abc: 4.025 4.025 4.025
angles: 60.00 60.00 60.00
Sites, in units of the cell vectors:
Be1 0.750 0.750 0.750
Li1 0.250 0.250 0.250
Os1 0.000 0.000 0.000
Re1 0.500 0.500 0.500

## Properties
magnetization	0.03	μB per cell

***

Run x
## LiBeReOs (PBE)

Data for a relaxed LiBeReOs crystal.

abc: 4.120 4.120 4.120
angles: 60.00 60.00 60.00
Sites, in units of the cell vectors:
Be1 0.750 0.750 0.750
Li1 0.500 0.500 0.500
Os1 0.000 0.000 0.000
Re1 0.250 0.250 0.250

## Properties
magnetization	0.00	μB per cell

***

Of them, run w has the lowest stability.